5
Lattice="-0.8783 0.1983 -3.8592 -4.4951 -2.0309 0.9186 -1.5258 3.6183 0.5332" Properties=species:S:1:pos:R:3 comment="LiHgC2Se | the Alexandria database | PBE | optimized geometry" energy_ry_per_atom=-0.193 pbc="T T T"
C -0.7629 1.8091 0.2666
C -0.4391 0.0992 -1.9296
Hg -2.2475 -1.0155 0.4593
Se -3.4496 0.8928 -1.2037
Li 0.0000 0.0000 0.0000



4
Lattice="3.6729 0.0000 0.0000 1.8364 3.1808 0.0000 1.8364 1.0603 9.1807" Properties=species:S:1:pos:R:3 comment="Pr2BrCl | the Alexandria database | PBE | optimized geometry" energy_ry_per_atom=-0.334 pbc="T T T"
Pr 5.5093 3.1808 6.9649
Pr 1.8364 1.0603 2.2158
Br 3.6729 2.1205 4.5903
Cl 0.0000 0.0000 0.0000



3
Lattice="-0.6606 -3.7855 1.1486 3.2725 0.9059 -2.1344 1.3867 0.4627 2.3225" Properties=species:S:1:pos:R:3 comment="CrFeAs | the Alexandria database | PBE | optimized geometry" energy_ry_per_atom=-0.554 e_form_ev_per_atom=0.0465 pbc="T T T"
As 1.1553 0.3855 1.9349
Cr 1.1126 -2.0675 0.8283
Fe 3.1174 -0.2722 0.8960



19
Lattice="-3.0771 2.5701 -5.4894 -6.1803 0.2974 2.8149 0.5065 6.4878 1.9648" Properties=species:S:1:pos:R:3 comment="UZn17Tc | the Alexandria database | PBE | optimized geometry" energy_ry_per_atom=-0.166 e_form_ev_per_atom=0.0178 pbc="T T T"
U -5.5498 5.9331 -0.4501
Zn -0.9248 4.8903 -0.4549
Zn -3.9101 1.9482 -2.4276
Zn -3.8041 2.3970 2.1818
Zn -4.8329 1.2724 0.0419
Zn -1.8156 4.2379 1.9291
Zn -1.9904 3.7253 -2.6716
Zn -6.0175 3.2043 1.2089
Zn -2.5957 6.3720 0.7739
Zn -4.4296 4.3673 -3.0406
Zn -2.7725 6.1973 -1.9242
Zn -6.1991 3.0252 -1.4886
Zn -4.3627 5.0327 2.3312
Zn -5.4917 8.9230 -2.0494
Zn -8.7261 5.9287 -1.6382
Zn -6.9927 7.8237 1.9673
Zn -7.7686 8.3051 -0.6301
Zn -0.9534 1.0192 -0.0773
Tc -3.9969 4.2729 -0.3242



6
Lattice="2.7802 0.0000 0.0000 0.0000 2.7802 0.0000 0.0000 0.0000 11.9083" Properties=species:S:1:pos:R:3 comment="MnAl5 | the Alexandria database | PBE | optimized geometry" energy_ry_per_atom=-0.348 e_form_ev_per_atom=-0.0824 pbc="T T T"
Mn 1.3901 1.3901 0.0000
Al 0.0000 0.0000 10.2230
Al 0.0000 0.0000 1.6854
Al 1.3901 1.3901 8.0929
Al 1.3901 1.3901 3.8154
Al 0.0000 0.0000 5.9542



10
Lattice="-4.9576 1.5348 3.4342 -1.2869 4.7725 -3.7808 0.6238 -5.7614 -2.2681" Properties=species:S:1:pos:R:3 comment="BaSrLaBiO6 | the Alexandria database | PBE | optimized geometry" energy_ry_per_atom=-0.478 pbc="T T T"
Ba -1.8927 1.0823 -3.1111
Sr -3.1222 3.1536 -0.1733
La -3.7280 -0.5365 0.4964
Bi 0.0000 0.0000 0.0000
O -1.4809 1.4958 -0.0822
O -4.7636 4.8115 -0.2644
O -4.3462 1.6644 1.3723
O -0.9127 -1.4840 -3.9669
O -1.6400 -1.2907 -0.5353
O -4.3426 2.2020 -2.0994



6
Lattice="-0.5406 -5.1602 2.8331 4.3505 -3.9931 -0.2753 3.3008 -1.1091 4.7772" Properties=species:S:1:pos:R:3 comment="NaTlAs4 | the Alexandria database | PBE | optimized geometry" energy_ry_per_atom=-0.267 e_form_ev_per_atom=0.0768 pbc="T T T"
Na 1.7777 -2.5656 1.8338
Tl 0.0000 0.0000 0.0000
As 2.7264 -5.9239 2.0655
As 2.1550 -4.3543 4.8154
As 4.5229 -6.5276 4.6656
As 4.8171 -3.7190 3.1236



5
Lattice="-2.2802 4.6911 1.0097 -0.8533 -1.4964 5.0257 4.1118 1.7370 1.2153" Properties=species:S:1:pos:R:3 comment="AlTeI2O | the Alexandria database | PBE | optimized geometry" energy_ry_per_atom=-0.197 pbc="T T T"
I -0.4266 -0.7482 2.5129
I -1.1401 2.3456 0.5048
Te 2.0559 0.8685 0.6076
Al 0.4891 2.4659 3.6253
O 0.0000 0.0000 0.0000



4
Lattice="-0.2429 -2.8616 -0.9555 1.8495 0.6161 -2.3153 6.2870 -2.0302 4.4821" Properties=species:S:1:pos:R:3 comment="TlCr2As | the Alexandria database | PBE | optimized geometry" energy_ry_per_atom=-0.463 e_form_ev_per_atom=0.2600 pbc="T T T"
As 6.0620 -2.8209 2.1136
Cr 0.1515 -0.0489 0.1080
Cr 1.9346 -1.4881 -0.8289
Tl 2.8891 -0.9329 2.0596



3
Lattice="-1.4866 -0.2064 5.9326 3.2468 -0.8513 0.7840 -0.9315 3.3165 -0.1180" Properties=species:S:1:pos:R:3 comment="TbPuN | the Alexandria database | PBE | optimized geometry" energy_ry_per_atom=-0.729 pbc="T T T"
N -0.5278 1.7899 4.1296
Tb -1.3294 -0.1846 5.3052
Pu 1.1992 0.4470 3.0964



10
Lattice="7.5090 -0.0145 0.0011 3.7406 8.1392 0.0075 -0.0011 0.0054 5.3296" Properties=species:S:1:pos:R:3 comment="RbTl3Rh | the Alexandria database | PBE | optimized geometry" energy_ry_per_atom=-0.229 e_form_ev_per_atom=-0.0385 pbc="T T T"
Tl 2.9414 1.6320 3.0669
Tl 6.5341 1.6517 3.0657
Tl 8.4944 7.8893 0.3930
Tl 6.6084 5.7121 3.0705
Tl 2.8532 5.7179 3.0700
Tl 4.7234 3.5290 0.4150
Rh 8.4890 7.5728 3.0560
Rh 4.7284 3.8506 3.0812
Rb 4.7311 7.6644 0.4099
Rb 8.4856 3.7515 0.4057



4
Lattice="1.6806 -5.6374 3.1313 5.4998 -3.4910 1.4053 3.4861 -1.8987 5.3527" Properties=species:S:1:pos:R:3 comment="AlHCl2 | the Alexandria database | PBE | optimized geometry" energy_ry_per_atom=-0.224 pbc="T T T"
H 0.0000 0.0000 0.0000
Al 5.3332 -5.5136 4.9447
Cl 9.7539 -10.0838 9.0433
Cl 0.9125 -0.9433 0.8460



8
Lattice="5.9012 0.0008 -0.0081 2.9382 5.1283 0.0093 2.9253 1.7080 5.6999" Properties=species:S:1:pos:R:3 comment="Zr6GeC | the Alexandria database | PBE | optimized geometry" energy_ry_per_atom=-0.615 e_form_ev_per_atom=-0.2278 pbc="T T T"
Zr 3.7320 3.4059 4.4101
Zr 6.9552 1.5503 4.4008
Zr 4.8359 1.5512 1.2820
Zr 4.8095 5.2868 1.3002
Zr 8.0327 3.4312 1.2909
Zr 6.9288 5.2859 4.4190
Ge 5.8824 3.4186 2.8505
C 0.0000 0.0000 0.0000



13
Lattice="-4.7475 6.0599 -0.8697 -6.8667 -5.3253 0.3786 4.7528 1.5313 7.8284" Properties=species:S:1:pos:R:3 comment="Nd8Sn3Bi2 | the Alexandria database | PBE | optimized geometry" energy_ry_per_atom=-0.356 e_form_ev_per_atom=-0.3894 pbc="T T T"
Nd -7.0299 2.0219 0.8510
Nd 0.1684 0.2439 6.4862
Nd -4.0626 5.3067 0.9583
Nd -2.7989 -3.0408 6.3789
Nd -3.5153 1.4088 5.7759
Nd -0.0985 4.0587 5.5875
Nd -6.7630 -1.7929 1.7496
Nd -3.3462 0.8570 1.5613
Sn -2.3738 3.0299 -0.4349
Sn -1.8194 -1.4110 0.1003
Sn -5.0473 -3.9143 0.2783
Bi -0.9426 1.4772 3.6813
Bi -5.9188 0.7886 3.6558



16
Lattice="-0.1372 0.8494 -5.4963 2.7507 -4.7680 -0.8055 -19.3722 -10.9713 -1.2119" Properties=species:S:1:pos:R:3 comment="Ca3Ac12Tm | the Alexandria database | PBE | optimized geometry" energy_ry_per_atom=-0.273 e_form_ev_per_atom=0.0277 pbc="T T T"
Ca -4.7933 -2.7147 -0.2999
Ca -9.6861 -5.4856 -0.6059
Ca -14.5789 -8.2566 -0.9120
Ac 1.3068 -1.9593 -3.1509
Ac -3.4866 -4.6740 -3.4508
Ac -8.3793 -7.4450 -3.7569
Ac -13.2721 -10.2160 -4.0630
Ac -2.3943 -0.8925 -2.8936
Ac -7.3058 -3.6740 -3.2009
Ac -12.2036 -6.4478 -3.5073
Ac -17.1151 -9.2294 -3.8146
Ac -0.9504 -3.7012 -0.5483
Ac -5.8619 -6.4828 -0.8555
Ac -10.7596 -9.2566 -1.1619
Ac -15.6711 -12.0382 -1.4692
Tm 0.0000 0.0000 0.0000



11
Lattice="6.6441 0.0000 0.0000 3.3221 7.8658 2.7824 3.3221 4.6456 8.5083" Properties=species:S:1:pos:R:3 comment="Tb5Tm2Th4 | the Alexandria database | PBE | optimized geometry" energy_ry_per_atom=-0.398 e_form_ev_per_atom=0.2010 pbc="T T T"
Tb 5.0582 6.3002 8.4550
Tb 8.2300 6.2113 2.8357
Tb 3.3221 6.2557 5.6454
Tb 8.2300 6.3002 8.4550
Tb 5.0583 6.2113 2.8357
Tm 6.6442 10.4536 8.3743
Tm 6.6441 2.0579 2.9164
Th 6.6441 8.0526 5.6780
Th 6.6441 4.4589 5.6128
Th 9.9662 9.0647 8.9468
Th 3.3221 3.4467 2.3439



12
Lattice="-4.2693 -0.7837 3.8931 3.0788 -4.5647 -1.9191 4.4137 2.4935 3.9580" Properties=species:S:1:pos:R:3 comment="K3PuPd2O6 | the Alexandria database | PBE | optimized geometry" energy_ry_per_atom=-0.458 pbc="T T T"
K 3.9641 -2.6379 1.1052
K -0.7409 -0.2169 4.8268
K 1.6116 -1.4274 2.9660
Pu 0.0000 0.0000 0.0000
Pd 0.6231 -3.3011 0.0233
Pd -1.8137 -2.0472 1.9508
O 1.5171 -1.5897 5.6251
O -0.0264 -3.6053 2.3120
O 1.7061 -1.2651 0.3069
O 3.7539 -2.7406 3.8558
O 3.2495 0.7505 3.6200
O -0.5308 -0.1142 2.0762



4
Lattice="4.3270 0.0000 0.0000 2.1635 3.7473 0.0000 2.1635 1.2491 7.1310" Properties=species:S:1:pos:R:3 comment="NdAs2Pb | the Alexandria database | PBE | optimized geometry" energy_ry_per_atom=-0.367 e_form_ev_per_atom=-0.5507 pbc="T T T"
Nd 6.4905 3.7473 7.1077
As 2.1635 1.2491 5.4312
As 2.1635 1.2491 1.6302
Pb 4.3270 2.4982 3.6585



12
Lattice="-4.8262 4.0027 3.7648 -3.9522 -4.9432 0.1897 -2.4692 -0.2906 11.3639" Properties=species:S:1:pos:R:3 comment="TbPm4Sm7 | the Alexandria database | PBE | optimized geometry" energy_ry_per_atom=-0.346 e_form_ev_per_atom=0.0096 pbc="T T T"
Tb 0.0000 0.0000 0.0000
Pm -5.6977 -1.9867 5.4843
Pm -5.5499 0.7555 9.8341
Pm -8.7362 -0.7044 10.8669
Pm -2.5114 -0.5268 4.4515
Sm -8.0693 0.2443 14.2850
Sm -3.1783 -1.4755 1.0335
Sm -3.1445 -1.2400 7.9607
Sm -8.1031 0.0088 7.3577
Sm -6.3276 -2.7142 8.9855
Sm -2.4131 2.0013 1.8824
Sm -4.9199 1.4830 6.3329



10
Lattice="-3.6647 -2.1429 4.8192 -2.6408 -4.3342 -3.9355 0.3176 -6.4519 1.6521" Properties=species:S:1:pos:R:3 comment="Cs2RhPbF6 | the Alexandria database | PBE | optimized geometry" energy_ry_per_atom=-0.335 pbc="T T T"
Pb 0.0000 0.0000 0.0000
Cs -3.2500 -5.9167 3.4566
Cs -2.7380 -7.0123 -0.9208
Rh -3.1528 -3.2386 0.4419
F -1.3944 -4.8667 1.0550
F -4.5935 -8.0623 1.4808
F -1.7048 -1.7512 0.2389
F -4.6008 -4.7259 0.6448
F -3.3879 -2.7354 2.4523
F -2.9177 -3.7418 -1.5685



32
Lattice="8.1585 0.0000 0.0000 0.0000 8.1585 0.0000 0.0000 0.0000 15.2466" Properties=species:S:1:pos:R:3 comment="Sr5Pd3 | the Alexandria database | PBE | optimized geometry" energy_ry_per_atom=-0.258 e_form_ev_per_atom=-0.5071 pbc="T T T"
Sr 6.7441 6.7779 9.2818
Sr 1.4143 6.7779 1.6585
Sr 1.3806 6.7441 5.9649
Sr 0.0000 4.0792 11.3709
Sr 6.7779 1.4143 5.9649
Sr 5.4936 5.4598 5.9649
Sr 5.4598 2.6649 9.2818
Sr 2.6986 5.4936 9.2818
Sr 0.0000 4.0792 3.7476
Sr 5.4598 5.4936 1.6585
Sr 5.4936 2.6986 13.5882
Sr 6.7779 6.7441 13.5882
Sr 2.6649 2.6986 5.9649
Sr 1.4143 1.3806 9.2818
Sr 6.7441 1.3806 1.6585
Sr 2.6649 5.4598 13.5882
Sr 2.6986 2.6649 1.6585
Sr 4.0792 0.0000 3.8758
Sr 1.3806 1.4143 13.5882
Sr 4.0792 0.0000 11.4991
Pd 5.0758 3.0827 3.8117
Pd 0.9965 7.1619 11.4350
Pd 3.0827 3.0827 11.4350
Pd 3.0827 5.0758 3.8117
Pd 7.1619 7.1619 3.8117
Pd 5.0758 5.0758 11.4350
Pd 0.0000 4.0792 7.6774
Pd 7.1619 0.9965 11.4350
Pd 4.0792 0.0000 7.5693
Pd 4.0792 0.0000 15.1926
Pd 0.9965 0.9965 3.8117
Pd 0.0000 4.0792 0.0541



4
Lattice="0.0000 3.9229 3.9229 3.9229 0.0000 3.9229 3.9229 3.9229 0.0000" Properties=species:S:1:pos:R:3 comment="La2GeBi | the Alexandria database | PBE | optimized geometry" energy_ry_per_atom=-0.385 e_form_ev_per_atom=-0.6501 pbc="T T T"
Ge 0.0000 0.0000 0.0000
Bi 3.9229 3.9229 3.9229
La 1.9615 1.9615 1.9615
La 5.8844 5.8844 5.8844



8
Lattice="-3.1196 -1.2627 1.3559 3.8683 -9.4191 0.1283 0.5507 5.8220 6.6835" Properties=species:S:1:pos:R:3 comment="Pm2Nd5Sc | the Alexandria database | PBE | optimized geometry" energy_ry_per_atom=-0.362 e_form_ev_per_atom=0.0315 pbc="T T T"
Pm 0.0556 -5.4167 4.7861
Pm 1.2437 0.5568 3.3816
Nd 1.9341 -4.7096 0.0642
Nd -0.0199 -2.6349 2.3535
Nd 1.3192 -2.2250 5.8142
Nd 1.9800 -7.5046 2.4199
Nd -0.6807 2.6447 5.7479
Sc 0.0000 0.0000 0.0000